{"formula": "Ca2AcIrO6", "functional": "PBE", "state": "optimized geometry", "e_form_raw_ev_per_atom": -2.239, "space_group": "P2_1/c, No. 14", "energy_ev_per_atom": -6.9115, "cell": [[5.683, 0.000, 0.000], [0.000, 6.127, 0.000], [-5.598, 0.000, 8.350]], "species": ["Ca", "Ca", "Ca", "Ca", "Ac", "Ac", "Ir", "Ir", "O", "O", "O", "O", "O", "O", "O", "O", "O", "O", "O", "O"], "frac_coords": [[0.218, 0.043, 0.225], [0.218, 0.457, 0.725], [0.782, 0.543, 0.275], [0.782, 0.957, 0.775], [0.000, 0.000, 0.500], [0.000, 0.500, 0.000], [0.500, 0.000, 0.000], [0.500, 0.500, 0.500], [0.168, 0.163, 0.965], [0.168, 0.337, 0.465], [0.249, 0.734, 0.907], [0.249, 0.766, 0.407], [0.404, 0.091, 0.782], [0.404, 0.409, 0.282], [0.596, 0.591, 0.718], [0.596, 0.909, 0.218], [0.751, 0.234, 0.593], [0.751, 0.266, 0.093], [0.832, 0.663, 0.535], [0.832, 0.837, 0.035]]}

{"formula": "Ca2AcIrO8", "functional": "PBE", "state": "optimized geometry", "e_form_raw_ev_per_atom": -1.794, "space_group": "P-1, No. 2", "energy_ev_per_atom": -6.5137, "cell": [[4.799, 0.000, 0.000], [0.136, 5.003, 0.000], [0.001, 0.018, 7.249]], "species": ["Ca", "Ca", "Ac", "Ir", "O", "O", "O", "O", "O", "O", "O", "O"], "frac_coords": [[0.001, 0.499, 0.266], [0.999, 0.501, 0.734], [0.500, 0.000, 0.000], [0.500, 0.000, 0.500], [0.033, 0.250, 0.000], [0.159, 0.188, 0.501], [0.381, 0.772, 0.306], [0.383, 0.770, 0.695], [0.617, 0.230, 0.305], [0.619, 0.228, 0.694], [0.841, 0.812, 0.499], [0.967, 0.750, 0.000]]}

{"formula": "CaAc2IrO6", "functional": "PBE", "state": "optimized geometry", "e_form_raw_ev_per_atom": -2.525, "space_group": "P2_1/c, No. 14", "energy_ev_per_atom": -7.4081, "cell": [[5.841, 0.000, 0.000], [0.000, 6.035, 0.000], [-5.768, 0.000, 8.341]], "species": ["Ca", "Ca", "Ac", "Ac", "Ac", "Ac", "Ir", "Ir", "O", "O", "O", "O", "O", "O", "O", "O", "O", "O", "O", "O"], "frac_coords": [[0.000, 0.000, 0.000], [0.000, 0.500, 0.500], [0.263, 0.053, 0.750], [0.263, 0.447, 0.250], [0.737, 0.553, 0.750], [0.737, 0.947, 0.250], [0.500, 0.000, 0.500], [0.500, 0.500, 0.000], [0.172, 0.030, 0.265], [0.172, 0.470, 0.765], [0.265, 0.692, 0.047], [0.265, 0.808, 0.547], [0.366, 0.220, 0.052], [0.366, 0.280, 0.552], [0.634, 0.720, 0.448], [0.634, 0.780, 0.948], [0.735, 0.192, 0.453], [0.735, 0.308, 0.953], [0.828, 0.530, 0.235], [0.828, 0.970, 0.735]]}

{"formula": "CaAcIrO6", "functional": "PBE", "state": "optimized geometry", "e_form_raw_ev_per_atom": -1.865, "space_group": "P-31c, No. 163", "energy_ev_per_atom": -6.8338, "cell": [[5.918, 0.000, 0.000], [-2.959, 5.125, 0.000], [0.000, 0.000, 8.751]], "species": ["Ca", "Ca", "Ac", "Ac", "Ir", "Ir", "O", "O", "O", "O", "O", "O", "O", "O", "O", "O", "O", "O"], "frac_coords": [[0.000, 0.000, 0.000], [0.000, 0.000, 0.500], [0.333, 0.667, 0.250], [0.667, 0.333, 0.750], [0.333, 0.667, 0.750], [0.667, 0.333, 0.250], [0.070, 0.389, 0.627], [0.070, 0.681, 0.873], [0.319, 0.389, 0.873], [0.319, 0.930, 0.627], [0.389, 0.070, 0.127], [0.389, 0.319, 0.373], [0.611, 0.681, 0.627], [0.611, 0.930, 0.873], [0.681, 0.070, 0.373], [0.681, 0.611, 0.127], [0.930, 0.319, 0.127], [0.930, 0.611, 0.373]]}

{"formula": "CaAcPIr", "functional": "PBE", "state": "optimized geometry", "space_group": "F-43m, No. 216", "energy_ev_per_atom": -5.6266, "ef_ev_per_atom": -0.531, "cell": [[0.000, 3.634, 3.634], [3.634, 0.000, 3.634], [3.634, 3.634, 0.000]], "species": ["Ca", "Ac", "P", "Ir"], "frac_coords": [[0.000, 0.000, 0.000], [0.500, 0.500, 0.500], [0.250, 0.250, 0.250], [0.750, 0.750, 0.750]]}

{"formula": "CaAc2Pa2Ir5", "functional": "PBE", "state": "optimized geometry", "space_group": "P4/mbm, No. 127", "energy_ev_per_atom": -7.7934, "ef_ev_per_atom": -0.442, "cell": [[11.441, 0.000, 0.000], [0.000, 11.441, 0.000], [0.000, 0.000, 3.623]], "species": ["Ca", "Ca", "Ac", "Ac", "Ac", "Ac", "Pa", "Pa", "Pa", "Pa", "Ir", "Ir", "Ir", "Ir", "Ir", "Ir", "Ir", "Ir", "Ir", "Ir"], "frac_coords": [[0.000, 0.000, 0.000], [0.500, 0.500, 0.000], [0.172, 0.328, 0.000], [0.328, 0.828, 0.000], [0.672, 0.172, 0.000], [0.828, 0.672, 0.000], [0.135, 0.635, 0.000], [0.365, 0.135, 0.000], [0.635, 0.865, 0.000], [0.865, 0.365, 0.000], [0.000, 0.500, 0.500], [0.052, 0.790, 0.500], [0.210, 0.052, 0.500], [0.290, 0.552, 0.500], [0.448, 0.290, 0.500], [0.500, 0.000, 0.500], [0.552, 0.710, 0.500], [0.710, 0.448, 0.500], [0.790, 0.948, 0.500], [0.948, 0.210, 0.500]]}

{"formula": "CaAcIrPb", "functional": "PBE", "state": "optimized geometry", "space_group": "F-43m, No. 216", "energy_ev_per_atom": -4.9458, "ef_ev_per_atom": -0.276, "cell": [[0.000, 3.815, 3.815], [3.815, 0.000, 3.815], [3.815, 3.815, 0.000]], "species": ["Ca", "Ac", "Ir", "Pb"], "frac_coords": [[0.000, 0.000, 0.000], [0.500, 0.500, 0.500], [0.250, 0.250, 0.250], [0.750, 0.750, 0.750]]}

{"formula": "CaAc3IrPd", "functional": "PBE", "state": "optimized geometry", "space_group": "Cmcm, No. 63", "energy_ev_per_atom": -5.2398, "ef_ev_per_atom": -0.510, "cell": [[2.169, -8.223, 0.000], [2.169, 8.223, 0.000], [0.000, 0.000, 12.596]], "species": ["Ca", "Ca", "Ac", "Ac", "Ac", "Ac", "Ac", "Ac", "Ir", "Ir", "Pd", "Pd"], "frac_coords": [[0.245, 0.755, 0.750], [0.755, 0.245, 0.250], [0.004, 0.996, 0.250], [0.379, 0.621, 0.014], [0.379, 0.621, 0.486], [0.621, 0.379, 0.514], [0.621, 0.379, 0.986], [0.996, 0.004, 0.750], [0.000, 0.000, 0.000], [0.000, 0.000, 0.500], [0.371, 0.629, 0.250], [0.629, 0.371, 0.750]]}